1.
Material: Na2Li3Ni3N3
Method: DFT, GGA-PBE
State: optimized geometry Values from VASP.

## Properties
Volume: 155.9 Å³ per cell
E: -52.58 eV for the cell shown
Space group: P-62m

Geometry as Quantum ESPRESSO input:
```
&SYSTEM
  ibrav = 0, nat = 11, ntyp = 4
/
ATOMIC_SPECIES
Li 6.94 Li.upf
N 14.01 N.upf
Na 22.99 Na.upf
Ni 58.69 Ni.upf
ATOMIC_POSITIONS crystal
Li 0.2256 0.0000 0.0000
Li 0.0000 0.2256 0.0000
Li 0.7744 0.7744 0.0000
N 0.6812 0.0000 0.0000
N 0.3188 0.3188 0.0000
N 0.0000 0.6812 0.0000
Na 0.6667 0.3333 0.0000
Na 0.3333 0.6667 0.0000
Ni 0.6819 0.0000 0.5000
Ni 0.3181 0.3181 0.5000
Ni 0.0000 0.6819 0.5000
CELL_PARAMETERS angstrom
7.2161 0.0000 0.0000
-3.6081 6.2494 0.0000
0.0000 0.0000 3.4581
```

---

2.
Material: KTbGe
Method: DFT, GGA-PBE
State: optimized geometry Values from VASP.

## Properties
Volume: 98.6 Å³ per cell
E: -10.40 eV for the cell shown
Space group: F-43m
Energy relative to the lowest polymorph listed for this composition: 0.000 eV/atom

Geometry as Quantum ESPRESSO input:
```
&SYSTEM
  ibrav = 0, nat = 3, ntyp = 3
/
ATOMIC_SPECIES
Ge 72.64 Ge.upf
K 39.10 K.upf
Tb 158.93 Tb.upf
ATOMIC_POSITIONS crystal
Ge 0.0000 0.0000 0.0000
K 0.2500 0.2500 0.2500
Tb 0.7500 0.7500 0.7500
CELL_PARAMETERS angstrom
2.6355 -2.1594 3.9090
-1.6284 -4.4670 2.0697
2.6979 -4.3579 -0.7869
```

---

3.
Material: Na2ZrTeSe2
Method: DFT, GGA-PBE
State: optimized geometry Values from VASP.

## Properties
Volume: 314.7 Å³ per cell
E: -56.54 eV for the cell shown
Space group: C2/m

Geometry as Quantum ESPRESSO input:
```
&SYSTEM
  ibrav = 0, nat = 12, ntyp = 4
/
ATOMIC_SPECIES
Na 22.99 Na.upf
Se 78.96 Se.upf
Te 127.60 Te.upf
Zr 91.22 Zr.upf
ATOMIC_POSITIONS crystal
Na 0.0000 0.0000 0.0000
Na 0.8339 0.1661 0.5000
Na 0.5000 0.5000 0.5000
Na 0.1661 0.8339 0.5000
Se 0.4395 0.0789 0.2220
Se 0.0789 0.4395 0.2220
Se 0.9211 0.5605 0.7780
Se 0.5605 0.9211 0.7780
Te 0.7219 0.7219 0.2288
Te 0.2781 0.2781 0.7712
Zr 0.6825 0.3175 0.0000
Zr 0.3175 0.6825 0.0000
CELL_PARAMETERS angstrom
-6.1711 -2.3501 -2.8890
6.1302 -0.0074 -3.7911
1.4287 -5.7238 4.6183
```

---

4.
Material: Er2ScIn3CuGe2
Method: DFT, GGA-PBE
State: optimized geometry Values from VASP.

## Properties
Volume: 191.7 Å³ per cell
E: -41.00 eV for the cell shown
Space group: Amm2

Geometry as Quantum ESPRESSO input:
```
&SYSTEM
  ibrav = 0, nat = 9, ntyp = 5
/
ATOMIC_SPECIES
Cu 63.55 Cu.upf
Er 167.26 Er.upf
Ge 72.64 Ge.upf
In 114.82 In.upf
Sc 44.96 Sc.upf
ATOMIC_POSITIONS crystal
Cu 0.0000 0.0062 0.0062
Er 0.0000 0.9987 0.5959
Er 0.0000 0.5959 0.9987
Ge 0.5000 0.6604 0.3347
Ge 0.5000 0.3347 0.6604
In 0.5000 0.2461 0.0016
In 0.5000 0.0016 0.2461
In 0.5000 0.7553 0.7553
Sc 0.0000 0.4012 0.4012
CELL_PARAMETERS angstrom
-2.8955 1.3913 -2.6184
-3.2219 3.5950 5.4732
5.1656 3.3058 -3.9559
```

---

5.
Material: DyP
Method: DFT, GGA-PBE
State: optimized geometry Values from VASP.

## Properties
Volume: 61.9 Å³ per cell
E: -12.15 eV for the cell shown
Space group: F-43m

Geometry as Quantum ESPRESSO input:
```
&SYSTEM
  ibrav = 0, nat = 2, ntyp = 2
/
ATOMIC_SPECIES
Dy 162.50 Dy.upf
P 30.97 P.upf
ATOMIC_POSITIONS crystal
Dy 0.0000 0.0000 0.0000
P 0.2500 0.2500 0.2500
CELL_PARAMETERS angstrom
0.0785 0.4259 4.4201
-3.4189 1.8937 2.1095
-2.6997 -2.4699 2.5172
```

---

6.
Material: RbZrBi
Method: DFT, GGA-PBE
State: optimized geometry Values from VASP.

## Properties
Volume: 113.9 Å³ per cell
E: -11.84 eV for the cell shown
Space group: F-43m

Geometry as Quantum ESPRESSO input:
```
&SYSTEM
  ibrav = 0, nat = 3, ntyp = 3
/
ATOMIC_SPECIES
Bi 208.98 Bi.upf
Rb 85.47 Rb.upf
Zr 91.22 Zr.upf
ATOMIC_POSITIONS crystal
Bi 0.0000 0.0000 0.0000
Rb 0.2500 0.2500 0.2500
Zr 0.7500 0.7500 0.7500
CELL_PARAMETERS angstrom
-5.1927 1.6098 -0.2347
-2.1024 1.7284 -4.7120
-3.6757 -3.0411 -2.6175
```

---

7.
Material: Zr2NbPt
Method: DFT, GGA-PBE
State: optimized geometry Values from VASP.

## Properties
E_form: -0.5134 eV/atom
Volume: 153.8 Å³ per cell
E: -70.60 eV for the cell shown
Space group: Ama2

Geometry as Quantum ESPRESSO input:
```
&SYSTEM
  ibrav = 0, nat = 8, ntyp = 3
/
ATOMIC_SPECIES
Nb 92.91 Nb.upf
Pt 195.08 Pt.upf
Zr 91.22 Zr.upf
ATOMIC_POSITIONS crystal
Nb 0.2500 0.9977 0.7510
Nb 0.7500 0.7510 0.9977
Pt 0.7500 0.9993 0.5010
Pt 0.2500 0.5010 0.9993
Zr 0.2500 0.9981 0.2485
Zr 0.0000 0.5022 0.5022
Zr 0.5000 0.5022 0.5022
Zr 0.7500 0.2485 0.9981
CELL_PARAMETERS angstrom
-2.4833 3.7972 -2.8704
-2.7058 -3.7775 -2.6562
-3.8946 0.2230 3.6645
```

---

8.
Material: UPdW
Method: DFT, GGA-PBE
State: optimized geometry Values from VASP.

## Properties
E_form: 0.9524 eV/atom
Volume: 63.7 Å³ per cell
E: -26.57 eV for the cell shown
Space group: F-43m
Energy relative to the lowest polymorph listed for this composition: 0.100 eV/atom

Geometry as Quantum ESPRESSO input:
```
&SYSTEM
  ibrav = 0, nat = 3, ntyp = 3
/
ATOMIC_SPECIES
Pd 106.42 Pd.upf
U 238.03 U.upf
W 183.84 W.upf
ATOMIC_POSITIONS crystal
Pd 0.7500 0.7500 0.7500
U 0.0000 0.0000 0.0000
W 0.2500 0.2500 0.2500
CELL_PARAMETERS angstrom
0.0000 3.1692 3.1692
3.1692 0.0000 3.1692
3.1692 3.1692 0.0000
```

---

9.
Material: NdScZnNi2
Method: DFT, GGA-PBE
State: optimized geometry Values from VASP.

## Properties
E_form: -0.4023 eV/atom
Volume: 88.8 Å³ per cell
E: -25.50 eV for the cell shown
Space group: Imm2

Geometry as Quantum ESPRESSO input:
```
&SYSTEM
  ibrav = 0, nat = 5, ntyp = 4
/
ATOMIC_SPECIES
Nd 144.24 Nd.upf
Ni 58.69 Ni.upf
Sc 44.96 Sc.upf
Zn 65.41 Zn.upf
ATOMIC_POSITIONS crystal
Nd 0.7971 0.7971 0.0000
Ni 0.7677 0.4995 0.2681
Ni 0.2314 0.4995 0.7319
Sc 0.2041 0.2041 0.0000
Zn 0.4997 0.9997 0.5000
CELL_PARAMETERS angstrom
-1.5098 3.4021 3.6522
-4.4261 1.6448 -2.2128
1.6251 -4.7295 1.4775
```

---

10.
Material: Tm2GeO5
Method: DFT, GGA-PBE
State: optimized geometry Values from VASP.

## Properties
Volume: 409.4 Å³ per cell
E: -248.11 eV for the cell shown
Space group: P2_1/c
Energy relative to the lowest polymorph listed for this composition: 0.005 eV/atom

Geometry as Quantum ESPRESSO input:
```
&SYSTEM
  ibrav = 0, nat = 32, ntyp = 3
/
ATOMIC_SPECIES
Ge 72.64 Ge.upf
O 16.00 O.upf
Tm 168.93 Tm.upf
ATOMIC_POSITIONS crystal
Ge 0.6992 0.1017 0.0013
Ge 0.3008 0.6017 0.4987
Ge 0.6992 0.3983 0.5013
Ge 0.3008 0.8983 0.9987
O 0.5991 0.3152 0.0079
O 0.8941 0.1460 0.0185
O 0.8939 0.6182 0.0835
O 0.3729 0.0749 0.1800
O 0.7205 0.9291 0.2103
O 0.2795 0.4291 0.2897
O 0.6271 0.5749 0.3200
O 0.1061 0.1182 0.4165
O 0.1059 0.6460 0.4815
O 0.4009 0.8152 0.4921
O 0.5991 0.1848 0.5079
O 0.8941 0.3540 0.5185
O 0.8939 0.8818 0.5835
O 0.3729 0.4251 0.6800
O 0.7205 0.5709 0.7103
O 0.2795 0.0709 0.7897
O 0.6271 0.9251 0.8200
O 0.1061 0.3818 0.9165
O 0.1059 0.8540 0.9815
O 0.4009 0.6848 0.9921
Tm 0.6494 0.6423 0.0030
Tm 0.0300 0.3784 0.2288
Tm 0.9700 0.8784 0.2712
Tm 0.3506 0.1423 0.4970
Tm 0.6494 0.8577 0.5030
Tm 0.0300 0.1216 0.7288
Tm 0.9700 0.6216 0.7712
Tm 0.3506 0.3577 0.9970
CELL_PARAMETERS angstrom
-4.8553 -7.6949 -1.1332
5.0300 -3.6050 2.9279
-2.1311 1.8904 5.9887
```

---

11.
Material: NpTaFe
Method: DFT, GGA-PBE
State: optimized geometry Values from VASP.

## Properties
E_form: 1.2011 eV/atom
Volume: 56.2 Å³ per cell
E: -29.33 eV for the cell shown
Space group: F-43m
Energy relative to the lowest polymorph listed for this composition: 0.638 eV/atom

Geometry as Quantum ESPRESSO input:
```
&SYSTEM
  ibrav = 0, nat = 3, ntyp = 3
/
ATOMIC_SPECIES
Fe 55.84 Fe.upf
Np 237.00 Np.upf
Ta 180.95 Ta.upf
ATOMIC_POSITIONS crystal
Fe 0.0000 0.0000 0.0000
Np 0.7500 0.7500 0.7500
Ta 0.5000 0.5000 0.5000
CELL_PARAMETERS angstrom
-0.7765 2.3902 3.4875
-0.2981 4.2744 -0.3466
-3.8093 1.9345 0.4753
```

---

12.
Material: Gd3Ge2Pb5
Method: DFT, GGA-PBE
State: optimized geometry Values from VASP.

## Properties
Volume: 270.0 Å³ per cell
E: -45.55 eV for the cell shown
Space group: Cmmm

Geometry as Quantum ESPRESSO input:
```
&SYSTEM
  ibrav = 0, nat = 10, ntyp = 3
/
ATOMIC_SPECIES
Gd 157.25 Gd.upf
Ge 72.64 Ge.upf
Pb 207.20 Pb.upf
ATOMIC_POSITIONS crystal
Gd 0.6952 0.3048 0.5000
Gd 0.5000 0.5000 0.5000
Gd 0.3048 0.6952 0.5000
Ge 0.7823 0.2177 0.0000
Ge 0.2177 0.7823 0.0000
Pb 0.0000 0.0000 0.0000
Pb 0.6025 0.3975 0.0000
Pb 0.3975 0.6025 0.0000
Pb 0.8990 0.1010 0.5000
Pb 0.1010 0.8990 0.5000
CELL_PARAMETERS angstrom
2.2235 -13.2125 0.0000
2.2235 13.2125 0.0000
0.0000 0.0000 4.5960
```